Record 1
Compound: Ba2ZnSbO
Source: the Alexandria database
Functional: PBE
Structure: optimized geometry

Results
- E_tot: -41.54 eV/cell
- Energy above the lowest structure with this stoichiometry: 0.00 eV/f.u.

a b c (Å): 4.448 7.197 9.667
angles (deg): 109.99 90.00 90.00
Positions (direct):
Ba 0.750 0.788 0.606
Ba 0.750 0.791 0.027
Ba 0.250 0.212 0.394
Ba 0.250 0.209 0.973
Zn 0.250 0.542 0.739
Zn 0.750 0.458 0.261
Sb 0.250 0.680 0.294
Sb 0.750 0.320 0.706
O 0.250 0.826 0.866
O 0.750 0.174 0.134

***

Record 2
Compound: BaZnSb4O8
Source: the Alexandria database
Functional: PBE
Structure: optimized geometry

Results
- E_tot: -77.45 eV/cell

a b c (Å): 6.129 6.129 7.169
angles (deg): 90.00 90.00 120.00
Positions (direct):
Ba 0.000 0.000 0.000
Zn 0.000 0.000 0.500
Sb 0.333 0.667 0.718
Sb 0.667 0.333 0.718
Sb 0.333 0.667 0.282
Sb 0.667 0.333 0.282
O 0.288 0.288 0.703
O 0.712 0.000 0.703
O 0.000 0.712 0.703
O 0.712 0.712 0.297
O 0.000 0.288 0.297
O 0.288 0.000 0.297
O 0.333 0.667 0.000
O 0.667 0.333 0.000

***

Record 3
Compound: Ba2ZnSbO6
Source: the Alexandria database
Functional: PBE
Structure: optimized geometry

Results
- E_tot: -115.99 eV/cell

a b c (Å): 5.902 5.902 10.561
angles (deg): 73.77 73.77 60.00
Positions (direct):
Ba 0.875 0.875 0.376
Ba 0.125 0.125 0.624
Ba 0.709 0.709 0.873
Ba 0.291 0.291 0.127
Zn 0.000 0.000 0.000
Zn 0.500 0.500 0.500
Sb 0.590 0.590 0.229
Sb 0.410 0.410 0.771
O 0.850 0.393 0.364
O 0.393 0.850 0.364
O 0.393 0.393 0.364
O 0.150 0.607 0.636
O 0.607 0.150 0.636
O 0.607 0.607 0.636
O 0.703 0.211 0.876
O 0.211 0.703 0.876
O 0.211 0.211 0.876
O 0.297 0.789 0.124
O 0.789 0.297 0.124
O 0.789 0.789 0.124

***

Record 4
Compound: Ba3Zn2SbO9
Source: the Alexandria database
Functional: PBE
Structure: optimized geometry

Results
- E_tot: -83.31 eV/cell

a b c (Å): 5.849 5.849 7.209
angles (deg): 90.00 90.00 120.00
Positions (direct):
Ba 0.333 0.667 0.674
Ba 0.000 0.000 0.000
Ba 0.667 0.333 0.326
Zn 0.333 0.667 0.170
Zn 0.667 0.333 0.830
Sb 0.000 0.000 0.500
O 0.838 0.162 0.660
O 0.838 0.675 0.660
O 0.325 0.162 0.660
O 0.675 0.838 0.340
O 0.162 0.325 0.340
O 0.162 0.838 0.340
O 0.500 0.000 0.000
O 0.000 0.500 0.000
O 0.500 0.500 0.000

***

Record 5
Compound: Ba3ZnSb2O9
Source: the Alexandria database
Functional: PBE
Structure: optimized geometry

Results
- E_tot: -90.72 eV/cell
- Energy above the lowest structure with this stoichiometry: 0.26 eV/f.u.

a b c (Å): 5.860 5.860 7.207
angles (deg): 90.00 90.00 120.00
Positions (direct):
Ba 0.333 0.667 0.656
Ba 0.000 0.000 0.000
Ba 0.667 0.333 0.344
Zn 0.000 0.000 0.500
Sb 0.333 0.667 0.173
Sb 0.667 0.333 0.827
O 0.829 0.171 0.677
O 0.829 0.659 0.677
O 0.341 0.171 0.677
O 0.659 0.829 0.323
O 0.171 0.341 0.323
O 0.171 0.829 0.323
O 0.500 0.000 0.000
O 0.000 0.500 0.000
O 0.500 0.500 0.000

***

Record 6
Compound: Ba3ZnSb2O8
Source: the Alexandria database
Functional: PBE
Structure: optimized geometry

Results
- E_tot: -80.49 eV/cell

a b c (Å): 6.019 6.019 7.859
angles (deg): 90.00 90.00 120.00
Positions (direct):
Ba 0.333 0.667 0.637
Ba 0.667 0.333 0.363
Ba 0.000 0.000 0.000
Zn 0.000 0.000 0.500
Sb 0.333 0.667 0.206
Sb 0.667 0.333 0.794
O 0.333 0.667 0.954
O 0.667 0.333 0.046
O 0.163 0.837 0.326
O 0.837 0.163 0.674
O 0.163 0.326 0.326
O 0.837 0.674 0.674
O 0.674 0.837 0.326
O 0.326 0.163 0.674

***

Record 7
Compound: Ba2ZrSb3O12
Source: the Alexandria database
Functional: PBE
Structure: optimized geometry

Results
- E_tot: -120.14 eV/cell

a b c (Å): 7.407 7.407 7.407
angles (deg): 59.60 59.60 59.60
Positions (direct):
Ba 0.620 0.620 0.620
Ba 0.380 0.380 0.380
Zr 0.000 0.000 0.000
Sb 0.500 0.000 0.000
Sb 0.000 0.500 0.000
Sb 0.000 0.000 0.500
O 0.325 0.325 0.913
O 0.918 0.918 0.342
O 0.342 0.918 0.918
O 0.913 0.325 0.325
O 0.918 0.342 0.918
O 0.325 0.913 0.325
O 0.675 0.675 0.087
O 0.082 0.082 0.658
O 0.658 0.082 0.082
O 0.087 0.675 0.675
O 0.082 0.658 0.082
O 0.675 0.087 0.675

***

Record 8
Compound: Ba2ScO3
Source: the Alexandria database
Functional: PBE
Structure: optimized geometry

Results
- E_tot: -80.67 eV/cell
- Energy above the lowest structure with this stoichiometry: 0.26 eV/f.u.

a b c (Å): 5.969 6.354 6.354
angles (deg): 112.41 90.00 90.00
Positions (direct):
Ba 0.750 0.488 0.824
Ba 0.250 0.176 0.512
Ba 0.250 0.512 0.176
Ba 0.750 0.824 0.488
Sc 0.250 0.908 0.908
Sc 0.750 0.092 0.092
O 0.000 0.137 0.863
O 0.500 0.137 0.863
O 0.250 0.630 0.630
O 0.750 0.370 0.370
O 0.500 0.863 0.137
O 0.000 0.863 0.137

***

Values of size of the total moment, in order: 0.000 0.000 2.002 3.041 0.000 0.000 1.005 0.683, all in μB/cell.